Model a:
Entry from Alexandria: a geometry-optimized BeCoF structure (GGA+U).

It has space group F-43m (No. 216), with a = 5.2419 Å, b = 5.2419 Å, c = 5.2419 Å, α = 90.00°, β = 90.00° and γ = 90.00°. Symmetry generates all atoms from Be at (0.0000, 0.0000, 0.0000), Co at (0.0000, 0.0000, 0.5000) and F at (0.2500, 0.2500, 0.7500).

For the calculated volume, the calculation gives 12.0 A^3/atom.

Model b:
Entry from Alexandria: a geometry-optimized BeCoF structure (GGA+U).

It has space group Cm (No. 8), with a = 4.3944 Å, b = 2.5373 Å, c = 10.8500 Å, α = 90.00°, β = 97.32° and γ = 90.00°. Symmetry generates all atoms from Be at (0.0000, 0.0000, 0.0000), Be at (0.0030, 0.5000, 0.5394), Co at (0.1152, 0.0000, 0.3645), Co at (0.2228, 0.5000, 0.1767), F at (0.3073, 0.0000, 0.9163) and F at (0.3636, 0.5000, 0.6253).

For the calculated volume, the calculation gives 10.0 A^3/atom.

Model c:
Entry from Alexandria: a geometry-optimized BeCoF structure (GGA+U).

It has space group Pnma (No. 62), with a = 5.7742 Å, b = 4.6042 Å, c = 5.8759 Å, α = 90.00°, β = 90.00° and γ = 90.00°. Symmetry generates all atoms from Be at (0.0010, 0.2500, 0.1808), Co at (0.0030, 0.2500, 0.5774) and F at (0.0000, 0.0000, 0.0000).

For the calculated volume, the calculation gives 13.0 A^3/atom.

Relative energies, unit kJ/mol of atoms: model a 141.9; model b 0.0; model c 47.3